Entry 1:
DFT (PBE-GGA) results for an optimized crystal structure of CoPb.

abc: 5.2453 5.2453 7.6537
angles: 53.73 53.73 46.05
Site moments in Bohr magnetons follow the coordinates.
Element x y z (fractional)
Co1 0.0059 0.0059 0.0818  1.54
Co2 0.3919 0.3919 0.3144  1.51
Co3 0.3152 0.3152 0.6957  1.13
Pb1 0.6225 0.6225 0.6918  -0.03
Pb2 0.0619 0.0619 0.4016  -0.03
Pb3 0.7692 0.7692 0.9813  -0.04

Summary:
- space-group type = Cm
- raw total energy (eV per cell) = -29.82
- energy relative to the elements (meV/atom) = 438

---

Entry 2:
DFT (PBE-GGA) results for an optimized crystal structure of Pr4SiAsSe2.

abc: 4.2963 7.4666 7.4429
angles: 70.65 90.00 90.00
Element x y z (fractional)
Pr1 0.0000 0.7386 0.7507
Pr2 0.0000 0.2614 0.2493
Pr3 0.5000 0.7392 0.2562
Pr4 0.5000 0.2608 0.7438
Si1 0.0000 0.5000 0.5000
As1 0.5000 0.5000 0.0000
Se1 0.0000 0.0000 0.0000
Se2 0.5000 0.0000 0.5000

Summary:
- space-group type = P2/m
- raw formation energy (meV/atom) = -1532
- raw total energy (eV per cell) = -48.42

---

Entry 3:
DFT (PBE-GGA) results for an optimized crystal structure of TaMo2Se.

abc: 5.2017 5.2017 3.0209
angles: 80.47 80.47 119.64
Element x y z (fractional)
Mo1 0.0000 0.0000 0.0000
Mo2 0.5000 0.5000 0.0000
Se1 0.5000 0.0000 0.5000
Ta1 0.0000 0.5000 0.5000

Summary:
- space-group type = C2/m
- raw formation energy (meV/atom) = 285
- raw total energy (eV per cell) = -35.86

---

Entry 4:
DFT (PBE-GGA) results for an optimized crystal structure of Cs3BS3.

abc: 7.0082 9.5163 9.5233
angles: 120.00 90.00 90.00
Element x y z (fractional)
Cs1 0.2500 0.6180 0.7220
Cs2 0.2500 0.1043 0.3823
Cs3 0.2500 0.2778 0.8961
Cs4 0.7500 0.3820 0.2780
Cs5 0.7500 0.8957 0.6177
Cs6 0.7500 0.7222 0.1039
B1 0.7500 0.3334 0.6667
B2 0.2500 0.6666 0.3333
S1 0.7500 0.5393 0.6923
S2 0.7500 0.1532 0.4610
S3 0.7500 0.3077 0.8468
S4 0.2500 0.4607 0.3077
S5 0.2500 0.8468 0.5390
S6 0.2500 0.6923 0.1532

Summary:
- space-group type = P2_1/m
- raw formation energy (meV/atom) = -1016
- raw total energy (eV per cell) = -57.46

---

Question: raw total energy of number 2 (Pr4SiAsSe2)?
Answer: -48.42 eV per cell

---

Question: raw total energy of number 2 (Pr4SiAsSe2)?
Answer: -48.42 eV per cell

---

Question: The lowest raw total energy belongs to which entry?
Answer: Cs3BS3